Record 1
Crystalline SrLa2P2 at its relaxed geometry, computed with PBEsol.

```
data_SrLa2P2
_chemical_formula_sum 'Sr2 La4 P4'
_cell_length_a 5.397
_cell_length_b 5.397
_cell_length_c 11.385
_cell_angle_alpha 90.00
_cell_angle_beta 90.00
_cell_angle_gamma 90.00
_symmetry_space_group_name_H-M 'I 4/m m m'
_symmetry_Int_Tables_number 139
_symmetry_space_group_name_Hall '-I 4 2'
loop_
_atom_site_label
_atom_site_type_symbol
_atom_site_fract_x
_atom_site_fract_y
_atom_site_fract_z
_atom_site_occupancy
Sr1 Sr 0.000 0.000 0.000 1
La1 La 0.000 0.000 0.323 1
P1 P 0.000 0.500 0.250 1
```

Values from the calculation:
- density (g cm⁻³) = 4.28
- crystal system = tetragonal
- ΔE_f (eV per formula unit) = -4.32

***

Record 2
Crystalline PrW2O8 at its relaxed geometry, computed with PBEsol.

```
data_PrW2O8
_chemical_formula_sum 'Pr2 W4 O16'
_cell_length_a 7.300
_cell_length_b 7.329
_cell_length_c 7.495
_cell_angle_alpha 113.82
_cell_angle_beta 116.23
_cell_angle_gamma 90.92
_symmetry_space_group_name_H-M 'P -1'
_symmetry_Int_Tables_number 2
loop_
_symmetry_equiv_pos_as_xyz
'x,y,z'
'-x,-y,-z'
loop_
_atom_site_label
_atom_site_type_symbol
_atom_site_fract_x
_atom_site_fract_y
_atom_site_fract_z
_atom_site_occupancy
Pr1 Pr 0.166 0.283 0.439 1
W1 W 0.276 0.303 0.030 1
W2 W 0.353 0.896 0.708 1
O1 O 0.077 0.333 0.109 1
O2 O 0.149 0.001 0.812 1
O3 O 0.168 0.648 0.552 1
O4 O 0.201 0.366 0.803 1
O5 O 0.289 0.001 0.520 1
O6 O 0.399 0.181 0.272 1
O7 O 0.483 0.836 0.003 1
O8 O 0.484 0.531 0.255 1
```

Values from the calculation:
- density (g cm⁻³) = 6.61
- formation energy without anion corrections (eV/atom) = -2.273
- crystal system = triclinic

***

Record 3
Crystalline Er2Te5O13 at its relaxed geometry, computed with PBEsol.

```
data_Er2Te5O13
_chemical_formula_sum 'Er4 Te10 O26'
_cell_length_a 6.851
_cell_length_b 8.525
_cell_length_c 10.391
_cell_angle_alpha 88.83
_cell_angle_beta 87.15
_cell_angle_gamma 74.96
_symmetry_space_group_name_H-M 'P -1'
_symmetry_Int_Tables_number 2
loop_
_symmetry_equiv_pos_as_xyz
'x,y,z'
'-x,-y,-z'
loop_
_atom_site_label
_atom_site_type_symbol
_atom_site_fract_x
_atom_site_fract_y
_atom_site_fract_z
_atom_site_occupancy
Er1 Er 0.001 0.237 0.237 1
Er2 Er 0.447 0.969 0.820 1
Te1 Te 0.130 0.848 0.100 1
Te2 Te 0.153 0.302 0.635 1
Te3 Te 0.267 0.899 0.477 1
Te4 Te 0.292 0.383 0.968 1
Te5 Te 0.436 0.407 0.306 1
O1 O 0.036 0.852 0.563 1
O2 O 0.055 0.517 0.693 1
O3 O 0.058 0.318 0.033 1
O4 O 0.068 0.774 0.282 1
O5 O 0.125 0.986 0.899 1
O6 O 0.238 0.000 0.183 1
O7 O 0.314 0.233 0.291 1
O8 O 0.327 0.725 0.776 1
O9 O 0.329 0.239 0.774 1
O10 O 0.333 0.018 0.615 1
O11 O 0.347 0.489 0.124 1
O12 O 0.456 0.692 0.513 1
O13 O 0.474 0.174 0.997 1
```

Values from the calculation:
- density (g cm⁻³) = 6.70
- formation energy without anion corrections (eV/atom) = -1.770
- crystal system = triclinic

***

Record 4
Crystalline LaFeSi2 at its relaxed geometry, computed with PBEsol.

```
data_LaFeSi2
_chemical_formula_sum 'La3 Fe3 Si6'
_cell_length_a 3.9111
_cell_length_b 3.9111
_cell_length_c 15.9505
_cell_angle_alpha 90.00
_cell_angle_beta 90.00
_cell_angle_gamma 120.00
_symmetry_space_group_name_H-M 'R -3 m'
_symmetry_Int_Tables_number 166
_symmetry_space_group_name_Hall '-R 3 2"'
loop_
_atom_site_label
_atom_site_type_symbol
_atom_site_fract_x
_atom_site_fract_y
_atom_site_fract_z
_atom_site_occupancy
La1 La 0.0000 0.0000 0.0000 1
Fe1 Fe 0.0000 0.0000 0.5000 1
Si1 Si 0.0000 0.0000 0.2027 1
```

Values from the calculation:
- density (g cm⁻³) = 5.92
- formation energy without anion corrections (eV/atom) = -0.690
- crystal system = trigonal

***

Record 5
Crystalline YTe2IBr at its relaxed geometry, computed with PBEsol.

```
data_YTe2IBr
_chemical_formula_sum 'Y1 Te2 I1 Br1'
_cell_length_a 5.801
_cell_length_b 5.801
_cell_length_c 5.729
_cell_angle_alpha 90.00
_cell_angle_beta 90.00
_cell_angle_gamma 90.00
_symmetry_space_group_name_H-M 'P 4/m m m'
_symmetry_Int_Tables_number 123
_symmetry_space_group_name_Hall '-P 4 2'
loop_
_atom_site_label
_atom_site_type_symbol
_atom_site_fract_x
_atom_site_fract_y
_atom_site_fract_z
_atom_site_occupancy
Y1 Y 0.000 0.000 0.000 1
Te1 Te 0.000 0.500 0.000 1
I1 I 0.000 0.000 0.500 1
Br1 Br 0.500 0.500 0.500 1
```

Values from the calculation:
- density (g cm⁻³) = 4.75
- formation energy without anion corrections (eV/atom) = -0.272
- crystal system = tetragonal

***

Record 6
Crystalline TmNiSn at its relaxed geometry, computed with PBEsol.

```
data_TmNiSn
_chemical_formula_sum 'Tm4 Ni4 Sn4'
_cell_length_a 6.920
_cell_length_b 4.370
_cell_length_c 7.540
_cell_angle_alpha 90.00
_cell_angle_beta 90.00
_cell_angle_gamma 90.00
_symmetry_space_group_name_H-M 'P n m a'
_symmetry_Int_Tables_number 62
loop_
_symmetry_equiv_pos_as_xyz
'x,y,z'
'-x,-y,-z'
'-x+1/2,-y,z+1/2'
'x+1/2,y,-z+1/2'
'x+1/2,-y+1/2,-z+1/2'
'-x+1/2,y+1/2,z+1/2'
'-x,y+1/2,-z'
'x,-y+1/2,z'
loop_
_atom_site_label
_atom_site_type_symbol
_atom_site_fract_x
_atom_site_fract_y
_atom_site_fract_z
_atom_site_occupancy
Tm1 Tm 0.013 0.250 0.199 1
Ni1 Ni 0.207 0.750 0.413 1
Sn1 Sn 0.186 0.250 0.585 1
```

Values from the calculation:
- density (g cm⁻³) = 10.09
- crystal system = orthorhombic
- ΔE_f (eV per formula unit) = -2.15

***

What is the formula in the second record?
PrW2O8

***

Number 6 is which compound?
TmNiSn

***

Repeat the sixth record exactly.
Crystalline TmNiSn at its relaxed geometry, computed with PBEsol.

```
data_TmNiSn
_chemical_formula_sum 'Tm4 Ni4 Sn4'
_cell_length_a 6.920
_cell_length_b 4.370
_cell_length_c 7.540
_cell_angle_alpha 90.00
_cell_angle_beta 90.00
_cell_angle_gamma 90.00
_symmetry_space_group_name_H-M 'P n m a'
_symmetry_Int_Tables_number 62
loop_
_symmetry_equiv_pos_as_xyz
'x,y,z'
'-x,-y,-z'
'-x+1/2,-y,z+1/2'
'x+1/2,y,-z+1/2'
'x+1/2,-y+1/2,-z+1/2'
'-x+1/2,y+1/2,z+1/2'
'-x,y+1/2,-z'
'x,-y+1/2,z'
loop_
_atom_site_label
_atom_site_type_symbol
_atom_site_fract_x
_atom_site_fract_y
_atom_site_fract_z
_atom_site_occupancy
Tm1 Tm 0.013 0.250 0.199 1
Ni1 Ni 0.207 0.750 0.413 1
Sn1 Sn 0.186 0.250 0.585 1
```

Values from the calculation:
- density (g cm⁻³) = 10.09
- crystal system = orthorhombic
- ΔE_f (eV per formula unit) = -2.15